This record from Alexandria via LeMat-Bulk describes an optimized crystal structure of Ba2SrLaB. The functional is GGA-PBEsol.

Values from the calculation:
- Total DFT energy (no corrections): -3.131 eV per atom
- E_form: 0.569 eV/atom
- Space-group type: P4/mmm (123)
- D(E_F): 8.0 states/eV/f.u.

Unit cell a=5.880 b=5.880 c=5.785 alpha=90.00 beta=90.00 gamma=90.00
Fractional positions:
Ba1 0.000 0.500 0.000
Ba2 0.500 0.000 0.000
Sr1 0.000 0.000 0.500
La1 0.500 0.500 0.500
B1 0.000 0.000 0.000